(1)
DFT (PBE) results for crystalline SiTcBr2 at its relaxed geometry.

Cell and atoms, written as POSCAR:
```
SiTcBr2
1.0
8.537 -1.734 0.000
8.537 1.734 0.000
-2.203 0.000 6.879
Si Tc Br
2 2 4
direct
0.213 0.213 0.056 Si
0.787 0.787 0.944 Si
0.225 0.225 0.724 Tc
0.775 0.775 0.276 Tc
0.084 0.084 0.810 Br
0.348 0.348 0.588 Br
0.652 0.652 0.412 Br
0.916 0.916 0.190 Br
```

Output
The calculated total energy is -0.36875 Ry/atom. Its crystal system is monoclinic. For the relative energy among the computed polymorphs, the calculation gives 0.023 eV per atom.

(2)
DFT (PBE) results for crystalline Si2TcBr at its relaxed geometry.

Cell and atoms, written as POSCAR:
```
Si2TcBr
1.0
2.876 -3.709 0.000
2.876 3.709 0.000
-0.731 0.000 3.028
Si Tc Br
2 1 1
direct
0.000 0.500 0.000 Si
0.500 0.000 0.000 Si
0.000 0.000 0.500 Tc
0.500 0.500 0.500 Br
```

Output
The calculated total energy is -0.37245 Ry/atom. Its crystal system is monoclinic. For the relative energy among the computed polymorphs, the calculation gives 0.643 eV per atom.

(3)
DFT (PBE) results for crystalline SiTcBr2 at its relaxed geometry.

Cell and atoms, written as POSCAR:
```
SiTcBr2
1.0
0.000 3.431 3.431
3.431 0.000 3.431
3.431 3.431 0.000
Si Tc Br
1 1 2
direct
0.000 0.000 0.000 Si
0.500 0.500 0.500 Tc
0.250 0.250 0.250 Br
0.750 0.750 0.750 Br
```

Output
The calculated total energy is -0.28422 Ry/atom. Its crystal system is cubic. For the relative energy among the computed polymorphs, the calculation gives 1.173 eV per atom.

(4)
DFT (PBE) results for crystalline SiTcBr2 at its relaxed geometry.

Cell and atoms, written as POSCAR:
```
SiTcBr2
1.0
4.054 0.000 0.000
0.000 6.668 0.000
-1.776 -1.106 8.464
Si Tc Br
2 2 4
direct
0.234 0.417 0.463 Si
0.766 0.583 0.537 Si
0.290 0.761 0.591 Tc
0.710 0.239 0.409 Tc
0.176 0.920 0.331 Br
0.412 0.720 0.871 Br
0.588 0.280 0.129 Br
0.824 0.080 0.669 Br
```

Output
The calculated total energy is -0.36521 Ry/atom. Its crystal system is triclinic. For the relative energy among the computed polymorphs, the calculation gives 0.071 eV per atom.

(5)
DFT (PBE) results for crystalline SiTc2Br at its relaxed geometry.

Cell and atoms, written as POSCAR:
```
SiTc2Br
1.0
-1.979 1.979 3.942
1.979 -1.979 3.942
1.979 1.979 -3.942
Si Tc Br
1 2 1
direct
0.000 0.000 0.000 Si
0.250 0.750 0.500 Tc
0.500 0.500 0.000 Tc
0.750 0.250 0.500 Br
```

Output
The calculated total energy is -0.45294 Ry/atom. Its crystal system is tetragonal. For the relative energy among the computed polymorphs, the calculation gives 0.662 eV per atom.

(6)
DFT (PBE) results for crystalline SiTcBr3 at its relaxed geometry.

Cell and atoms, written as POSCAR:
```
SiTcBr3
1.0
5.152 0.000 0.000
0.000 5.152 0.000
0.000 0.000 5.152
Si Tc Br
1 1 3
direct
0.000 0.000 0.000 Si
0.500 0.500 0.500 Tc
0.000 0.500 0.500 Br
0.500 0.000 0.500 Br
0.500 0.500 0.000 Br
```

Output
The calculated total energy is -0.25927 Ry/atom. Its crystal system is cubic. For the relative energy among the computed polymorphs, the calculation gives 0.000 eV per atom.